Pm6DyTh | PBE | relaxed

Geometry as POSCAR:
```
Pm6DyTh
1.0
5.126 0.000 0.000
0.000 5.126 0.000
0.000 0.000 10.253
Pm Dy Th
6 1 1
Cartesian
0.000 0.000 0.000
0.000 0.000 5.126
0.000 2.563 2.540
0.000 2.563 7.713
2.563 0.000 2.540
2.563 0.000 7.713
2.563 2.563 5.126
2.563 2.563 0.000
```

Mass density = 7.79 g cm⁻³
D(E_F) = 1.485 states/eV/atom
E_form = 29 kJ/mol of formula units
Energy = -40.23 eV/cell
Space group = P4/mmm, No. 123
E above lowest polymorph = 2 meV/atom